*w*
Compound: Tc4B2W
Source: Alexandria
Functional: GGA-PBE
Structure: relaxed

```
data_Tc4B2W
_space_group_name_H-M_alt 'P 1'
_space_group_IT_number 1
_cell_length_a 3.7301
_cell_length_b 3.7418
_cell_length_c 6.6329
_cell_angle_alpha 106.38
_cell_angle_beta 90.00
_cell_angle_gamma 90.00
loop_
_space_group_symop_operation_xyz
'x,y,z'
loop_
_atom_site_label
_atom_site_type_symbol
_atom_site_fract_x
_atom_site_fract_y
_atom_site_fract_z
Tc1 Tc 0.5000 0.8282 0.6563
Tc2 Tc 0.0000 0.6741 0.3481
Tc3 Tc 0.5000 0.1718 0.3437
Tc4 Tc 0.0000 0.3259 0.6519
B1 B 0.5000 0.5679 0.1359
B2 B 0.5000 0.4321 0.8641
W1 W 0.0000 0.0000 0.0000
```

## Properties
Calculated volume, Å³/atom: 12.688
Space-group type: Cmmm, No. 65

=====

*x*
Compound: Tc4B2W
Source: Alexandria
Functional: GGA-PBE
Structure: relaxed

```
data_Tc4B2W
_space_group_name_H-M_alt 'P 1'
_space_group_IT_number 1
_cell_length_a 6.0901
_cell_length_b 5.9128
_cell_length_c 5.3441
_cell_angle_alpha 108.26
_cell_angle_beta 82.57
_cell_angle_gamma 79.80
loop_
_space_group_symop_operation_xyz
'x,y,z'
loop_
_atom_site_label
_atom_site_type_symbol
_atom_site_fract_x
_atom_site_fract_y
_atom_site_fract_z
B1 B 0.1759 0.2021 0.9632
B2 B 0.8241 0.7979 0.0368
B3 B 0.7169 0.4128 0.4486
B4 B 0.2831 0.5872 0.5514
Tc1 Tc 0.4224 0.3600 0.7934
Tc2 Tc 0.4020 0.2021 0.2609
Tc3 Tc 0.5980 0.7979 0.7391
Tc4 Tc 0.9788 0.4368 0.7320
Tc5 Tc 0.7968 0.0349 0.4561
Tc6 Tc 0.0212 0.5632 0.2680
Tc7 Tc 0.5776 0.6400 0.2066
Tc8 Tc 0.2032 0.9651 0.5439
W1 W 0.1921 0.8350 0.0172
W2 W 0.8079 0.1650 0.9828
```

## Properties
Calculated volume, Å³/atom: 12.593
Space-group type: P-1, No. 2

=====

How do the energies compare? Relative to the most stable structure, in meV per atom: *w* 338; *x* 0.

=====

*w*
Compound: Tc2B2W
Source: Alexandria
Functional: GGA-PBE
Structure: relaxed

```
data_Tc2B2W
_space_group_name_H-M_alt 'P 1'
_space_group_IT_number 1
_cell_length_a 6.2013
_cell_length_b 6.2013
_cell_length_c 2.9264
_cell_angle_alpha 90.00
_cell_angle_beta 90.00
_cell_angle_gamma 90.00
loop_
_space_group_symop_operation_xyz
'x,y,z'
loop_
_atom_site_label
_atom_site_type_symbol
_atom_site_fract_x
_atom_site_fract_y
_atom_site_fract_z
B1 B 0.3599 0.8599 0.0000
B2 B 0.8599 0.6401 0.0000
B3 B 0.6401 0.1401 0.0000
B4 B 0.1401 0.3599 0.0000
Tc1 Tc 0.1533 0.6533 0.5000
Tc2 Tc 0.6533 0.8467 0.5000
Tc3 Tc 0.8467 0.3467 0.5000
Tc4 Tc 0.3467 0.1533 0.5000
W1 W 0.0000 0.0000 0.0000
W2 W 0.5000 0.5000 0.0000
```

## Properties
Calculated volume, Å³/atom: 11.254
Space-group type: P4/mbm, No. 127

=====

*x*
Compound: Tc2B2W
Source: Alexandria
Functional: GGA-PBE
Structure: relaxed

```
data_Tc2B2W
_space_group_name_H-M_alt 'P 1'
_space_group_IT_number 1
_cell_length_a 3.0398
_cell_length_b 4.4494
_cell_length_c 9.2223
_cell_angle_alpha 112.35
_cell_angle_beta 90.00
_cell_angle_gamma 90.00
loop_
_space_group_symop_operation_xyz
'x,y,z'
loop_
_atom_site_label
_atom_site_type_symbol
_atom_site_fract_x
_atom_site_fract_y
_atom_site_fract_z
Tc1 Tc 0.2500 0.7806 0.8737
Tc2 Tc 0.7500 0.2194 0.1263
Tc3 Tc 0.2500 0.2769 0.5519
Tc4 Tc 0.7500 0.7231 0.4481
B1 B 0.2500 0.8121 0.6324
B2 B 0.7500 0.1879 0.3676
B3 B 0.2500 0.3737 0.9812
B4 B 0.7500 0.6263 0.0188
W1 W 0.2500 0.8096 0.2201
W2 W 0.7500 0.1904 0.7799
```

## Properties
Calculated volume, Å³/atom: 11.536
Space-group type: P2_1/m, No. 11

=====

How do the energies compare? Relative to the most stable structure, in meV per atom: *w* 56; *x* 0.

=====

*w*
Compound: YTc2B6
Source: Alexandria
Functional: GGA-PBE
Structure: relaxed

```
data_YTc2B6
_space_group_name_H-M_alt 'P 1'
_space_group_IT_number 1
_cell_length_a 3.5158
_cell_length_b 5.3204
_cell_length_c 5.3204
_cell_angle_alpha 120.00
_cell_angle_beta 90.00
_cell_angle_gamma 90.00
loop_
_space_group_symop_operation_xyz
'x,y,z'
loop_
_atom_site_label
_atom_site_type_symbol
_atom_site_fract_x
_atom_site_fract_y
_atom_site_fract_z
Y1 Y 0.0000 0.0000 0.0000
Tc1 Tc 0.0000 0.3333 0.6667
Tc2 Tc 0.0000 0.6667 0.3333
B1 B 0.5000 0.3410 0.3410
B2 B 0.5000 0.6590 0.6590
B3 B 0.5000 0.0000 0.6590
B4 B 0.5000 0.6590 0.0000
B5 B 0.5000 0.3410 0.0000
B6 B 0.5000 0.0000 0.3410
```

## Properties
Calculated volume, Å³/atom: 9.576
Space-group type: P6/mmm, No. 191

=====

*x*
Compound: YTc2B6
Source: Alexandria
Functional: GGA-PBE
Structure: relaxed

```
data_YTc2B6
_space_group_name_H-M_alt 'P 1'
_space_group_IT_number 1
_cell_length_a 3.1352
_cell_length_b 5.6770
_cell_length_c 5.6770
_cell_angle_alpha 73.46
_cell_angle_beta 73.97
_cell_angle_gamma 73.97
loop_
_space_group_symop_operation_xyz
'x,y,z'
loop_
_atom_site_label
_atom_site_type_symbol
_atom_site_fract_x
_atom_site_fract_y
_atom_site_fract_z
Y1 Y 0.5000 0.5000 0.5000
Tc1 Tc 0.3386 0.1614 0.1614
Tc2 Tc 0.6614 0.8386 0.8386
B1 B 0.1903 0.5658 0.0536
B2 B 0.8097 0.4342 0.9464
B3 B 0.8097 0.9464 0.4342
B4 B 0.0000 0.1530 0.8470
B5 B 0.0000 0.8470 0.1530
B6 B 0.1903 0.0536 0.5658
```

## Properties
Calculated volume, Å³/atom: 10.103
Space-group type: Immm, No. 71

=====

How do the energies compare? Relative to the most stable structure, in meV per atom: *w* 164; *x* 0.

=====

*w*
Compound: YTcB4
Source: Alexandria
Functional: GGA-PBE
Structure: relaxed

```
data_YTcB4
_space_group_name_H-M_alt 'P 1'
_space_group_IT_number 1
_cell_length_a 3.1553
_cell_length_b 4.7410
_cell_length_c 4.7410
_cell_angle_alpha 69.11
_cell_angle_beta 70.56
_cell_angle_gamma 70.56
loop_
_space_group_symop_operation_xyz
'x,y,z'
loop_
_atom_site_label
_atom_site_type_symbol
_atom_site_fract_x
_atom_site_fract_y
_atom_site_fract_z
Y1 Y 0.0000 0.0000 0.0000
Tc1 Tc 0.5000 0.5000 0.5000
B1 B 0.2491 0.4149 0.0870
B2 B 0.2491 0.0870 0.4149
B3 B 0.7509 0.5851 0.9130
B4 B 0.7509 0.9130 0.5851
```

## Properties
Calculated volume, Å³/atom: 10.102
Space-group type: Immm, No. 71

=====

*x*
Compound: YTcB4
Source: Alexandria
Functional: GGA-PBE
Structure: relaxed

```
data_YTcB4
_space_group_name_H-M_alt 'P 1'
_space_group_IT_number 1
_cell_length_a 3.6062
_cell_length_b 5.9754
_cell_length_c 11.5638
_cell_angle_alpha 90.00
_cell_angle_beta 90.00
_cell_angle_gamma 90.00
loop_
_space_group_symop_operation_xyz
'x,y,z'
loop_
_atom_site_label
_atom_site_type_symbol
_atom_site_fract_x
_atom_site_fract_y
_atom_site_fract_z
Y1 Y 0.0000 0.6270 0.3500
Y2 Y 0.0000 0.3730 0.6500
Y3 Y 0.0000 0.1270 0.1500
Y4 Y 0.0000 0.8730 0.8500
Tc1 Tc 0.0000 0.6327 0.0873
Tc2 Tc 0.0000 0.3673 0.9127
Tc3 Tc 0.0000 0.1327 0.4127
Tc4 Tc 0.0000 0.8673 0.5873
B1 B 0.5000 0.7870 0.1847
B2 B 0.5000 0.2130 0.8153
B3 B 0.5000 0.2870 0.3153
B4 B 0.5000 0.7130 0.6847
B5 B 0.5000 0.8638 0.0314
B6 B 0.5000 0.1362 0.9686
B7 B 0.5000 0.3638 0.4686
B8 B 0.5000 0.6362 0.5314
B9 B 0.5000 0.8870 0.4528
B10 B 0.5000 0.1130 0.5472
B11 B 0.5000 0.3870 0.0472
B12 B 0.5000 0.6130 0.9528
B13 B 0.5000 0.9773 0.3078
B14 B 0.5000 0.0227 0.6922
B15 B 0.5000 0.4773 0.1922
B16 B 0.5000 0.5227 0.8078
```

## Properties
Calculated volume, Å³/atom: 10.383
Space-group type: Pbam, No. 55

=====

How do the energies compare? Relative to the most stable structure, in meV per atom: *w* 271; *x* 0.

=====

*w*
Compound: ZnTc3B
Source: Alexandria
Functional: GGA-PBE
Structure: relaxed

```
data_ZnTc3B
_space_group_name_H-M_alt 'P 1'
_space_group_IT_number 1
_cell_length_a 4.1048
_cell_length_b 4.1048
_cell_length_c 4.1048
_cell_angle_alpha 90.00
_cell_angle_beta 90.00
_cell_angle_gamma 90.00
loop_
_space_group_symop_operation_xyz
'x,y,z'
loop_
_atom_site_label
_atom_site_type_symbol
_atom_site_fract_x
_atom_site_fract_y
_atom_site_fract_z
Zn1 Zn 0.5000 0.5000 0.5000
B1 B 0.0000 0.0000 0.0000
Tc1 Tc 0.0000 0.5000 0.0000
Tc2 Tc 0.0000 0.0000 0.5000
Tc3 Tc 0.5000 0.0000 0.0000
```

## Properties
Calculated volume, Å³/atom: 13.832
Space-group type: Pm-3m, No. 221

=====

*x*
Compound: ZnTc3B
Source: Alexandria
Functional: GGA-PBE
Structure: relaxed

```
data_ZnTc3B
_space_group_name_H-M_alt 'P 1'
_space_group_IT_number 1
_cell_length_a 4.4950
_cell_length_b 4.4950
_cell_length_c 4.4950
_cell_angle_alpha 90.00
_cell_angle_beta 90.00
_cell_angle_gamma 90.00
loop_
_space_group_symop_operation_xyz
'x,y,z'
loop_
_atom_site_label
_atom_site_type_symbol
_atom_site_fract_x
_atom_site_fract_y
_atom_site_fract_z
Zn1 Zn 0.0000 0.0000 0.0000
B1 B 0.5000 0.5000 0.5000
Tc1 Tc 0.0000 0.5000 0.0000
Tc2 Tc 0.0000 0.0000 0.5000
Tc3 Tc 0.5000 0.0000 0.0000
```

## Properties
Calculated volume, Å³/atom: 18.165
Space-group type: Pm-3m, No. 221

=====

How do the energies compare? Relative to the most stable structure, in meV per atom: *w* 0; *x* 2271.

=====

*w*
Compound: Zn3TcB
Source: Alexandria
Functional: GGA-PBE
Structure: relaxed

```
data_Zn3TcB
_space_group_name_H-M_alt 'P 1'
_space_group_IT_number 1
_cell_length_a 4.8092
_cell_length_b 4.8092
_cell_length_c 4.8092
_cell_angle_alpha 90.00
_cell_angle_beta 90.00
_cell_angle_gamma 90.00
loop_
_space_group_symop_operation_xyz
'x,y,z'
loop_
_atom_site_label
_atom_site_type_symbol
_atom_site_fract_x
_atom_site_fract_y
_atom_site_fract_z
Zn1 Zn 0.0000 0.5000 0.0000
Zn2 Zn 0.0000 0.0000 0.5000
Zn3 Zn 0.5000 0.0000 0.0000
B1 B 0.5000 0.5000 0.5000
Tc1 Tc 0.0000 0.0000 0.0000
```

## Properties
Calculated volume, Å³/atom: 22.245
Space-group type: Pm-3m, No. 221

=====

*x*
Compound: Zn3TcB
Source: Alexandria
Functional: GGA-PBE
Structure: relaxed

```
data_Zn3TcB
_space_group_name_H-M_alt 'P 1'
_space_group_IT_number 1
_cell_length_a 4.1045
_cell_length_b 4.1045
_cell_length_c 4.1045
_cell_angle_alpha 90.00
_cell_angle_beta 90.00
_cell_angle_gamma 90.00
loop_
_space_group_symop_operation_xyz
'x,y,z'
loop_
_atom_site_label
_atom_site_type_symbol
_atom_site_fract_x
_atom_site_fract_y
_atom_site_fract_z
Zn1 Zn 0.0000 0.5000 0.0000
Zn2 Zn 0.0000 0.0000 0.5000
Zn3 Zn 0.5000 0.0000 0.0000
B1 B 0.0000 0.0000 0.0000
Tc1 Tc 0.5000 0.5000 0.5000
```

## Properties
Calculated volume, Å³/atom: 13.829
Space-group type: Pm-3m, No. 221

=====

How do the energies compare? Relative to the most stable structure, in meV per atom: *w* 953; *x* 0.